## Ac3Mg4Hg2 (PBE-GGA)

Data for an optimized crystal structure of Ac3Mg4Hg2.

Cell and atoms, written as CIF:
```
data_Ac3Mg4Hg2
_cell_length_a 11.521
_cell_length_b 5.195
_cell_length_c 9.641
_cell_angle_alpha 90.00
_cell_angle_beta 102.09
_cell_angle_gamma 90.00
_space_group_name_H-M_alt 'C 1 2/m 1'
_space_group_IT_number 12
loop_
_space_group_symop_operation_xyz
'x,y,z'
'-x,-y,-z'
'-x,y,-z'
'x,-y,z'
'x+1/2,y+1/2,z'
'-x+1/2,-y+1/2,-z'
'-x+1/2,y+1/2,-z'
'x+1/2,-y+1/2,z'
loop_
_atom_site_label
_atom_site_fract_x
_atom_site_fract_y
_atom_site_fract_z
Ac1 0.000 0.000 0.000
Ac2 0.122 0.500 0.697
Mg1 0.102 0.000 0.422
Mg2 0.216 0.500 0.072
Hg1 0.177 0.500 0.347
```

Summary:
magnetization = 0.00 μB per formula unit
V = 282 Å³/f.u.
formation energy = -201 meV per atom
energy above the most stable polymorph in this dataset = 34.3 meV per atom

## Ac3Mg4Hg4 (PBE-GGA)

Data for an optimized crystal structure of Ac3Mg4Hg4.

Cell and atoms, written as CIF:
```
data_Ac3Mg4Hg4
_cell_length_a 31.491
_cell_length_b 4.030
_cell_length_c 5.017
_cell_angle_alpha 90.00
_cell_angle_beta 99.09
_cell_angle_gamma 90.00
_space_group_name_H-M_alt 'C 1 2/m 1'
_space_group_IT_number 12
loop_
_space_group_symop_operation_xyz
'x,y,z'
'-x,-y,-z'
'-x,y,-z'
'x,-y,z'
'x+1/2,y+1/2,z'
'-x+1/2,-y+1/2,-z'
'-x+1/2,y+1/2,-z'
'x+1/2,-y+1/2,z'
loop_
_atom_site_label
_atom_site_fract_x
_atom_site_fract_y
_atom_site_fract_z
Ac1 0.000 0.000 0.000
Ac2 0.146 0.000 0.646
Mg1 0.095 0.500 0.096
Mg2 0.245 0.500 0.744
Hg1 0.051 0.500 0.551
Hg2 0.188 0.500 0.188
```

Summary:
magnetization = 0.00 μB per formula unit
V = 314 Å³/f.u.
formation energy = -350 meV per atom
energy above the most stable polymorph in this dataset = 20.2 meV per atom

## Ac4MgHg3 (PBE-GGA)

Data for an optimized crystal structure of Ac4MgHg3.

Cell and atoms, written as CIF:
```
data_Ac4MgHg3
_cell_length_a 11.460
_cell_length_b 8.153
_cell_length_c 5.731
_cell_angle_alpha 90.00
_cell_angle_beta 90.00
_cell_angle_gamma 90.00
_space_group_name_H-M_alt 'P m m a'
_space_group_IT_number 51
loop_
_space_group_symop_operation_xyz
'x,y,z'
'-x,-y,-z'
'-x+1/2,-y,z'
'x+1/2,y,-z'
'x+1/2,-y,-z'
'-x+1/2,y,z'
'-x,y,-z'
'x,-y,z'
loop_
_atom_site_label
_atom_site_fract_x
_atom_site_fract_y
_atom_site_fract_z
Ac1 0.000 0.247 0.000
Ac2 0.250 0.247 0.499
Mg1 0.000 0.500 0.500
Hg1 0.000 0.000 0.500
Hg2 0.250 0.000 0.999
Hg3 0.250 0.500 0.999
```

Summary:
magnetization = 0.01 μB per formula unit
V = 268 Å³/f.u.
formation energy = -363 meV per atom

## Ac2Mg6Hg3 (PBE-GGA)

Data for an optimized crystal structure of Ac2Mg6Hg3.

Cell and atoms, written as CIF:
```
data_Ac2Mg6Hg3
_cell_length_a 8.7428
_cell_length_b 8.7428
_cell_length_c 4.5547
_cell_angle_alpha 90.00
_cell_angle_beta 90.00
_cell_angle_gamma 120.00
_space_group_name_H-M_alt 'P -6 2 m'
_space_group_IT_number 189
_space_group_name_Hall 'P -6 -2'
loop_
_atom_site_label
_atom_site_fract_x
_atom_site_fract_y
_atom_site_fract_z
Ac1 0.3333 0.6667 0.0000
Mg1 0.0000 0.1986 0.0000
Mg2 0.0000 0.7164 0.5000
Hg1 0.0000 0.3912 0.5000
```

Summary:
magnetization = 0.00 μB per formula unit
V = 301 Å³/f.u.
formation energy = -255 meV per atom

Q: What is the V in the second record?
A: 314 Å³/f.u.

What did the fourth record say?
## Ac2Mg6Hg3 (PBE-GGA)

Data for an optimized crystal structure of Ac2Mg6Hg3.

Cell and atoms, written as CIF:
```
data_Ac2Mg6Hg3
_cell_length_a 8.7428
_cell_length_b 8.7428
_cell_length_c 4.5547
_cell_angle_alpha 90.00
_cell_angle_beta 90.00
_cell_angle_gamma 120.00
_space_group_name_H-M_alt 'P -6 2 m'
_space_group_IT_number 189
_space_group_name_Hall 'P -6 -2'
loop_
_atom_site_label
_atom_site_fract_x
_atom_site_fract_y
_atom_site_fract_z
Ac1 0.3333 0.6667 0.0000
Mg1 0.0000 0.1986 0.0000
Mg2 0.0000 0.7164 0.5000
Hg1 0.0000 0.3912 0.5000
```

Summary:
magnetization = 0.00 μB per formula unit
V = 301 Å³/f.u.
formation energy = -255 meV per atom